The following is a PBE-GGA calculation of an optimized crystal structure of KLa4Re, from Alexandria.

Lattice parameters (Å, degrees): 9.2185 9.2185 9.2185 90.00 90.00 90.00
Closest atoms and distances in Å follow each position.
Space group F-43m (No. 216)
Symmetry-distinct sites (fractional):
K 0.0000 0.0000 0.0000 [4 per cell]  12 La 3.84, 4 Re 3.99
La 0.1200 0.1200 0.6200 [16 per cell]  6 La 3.13-3.39
Re 0.2500 0.2500 0.2500 [4 per cell]  12 La 3.81, 4 K 3.99

## Properties
The calculation puts the electronic total energy at -0.32761 Ry/atom. The density of states at the Fermi level is 10.5 states/eV/f.u.